{
  "formula": "HfBeCoGe",
  "functional": "PBE",
  "state": "relaxed",
  "sg": "F-43m",
  "e_above_lowest_polymorph_mev_per_atom": 122,
  "magnetic_moment_mub_per_fu": 0.97,
  "lattice_angstrom": [[6.043, 0.000, 0.000], [0.000, 6.043, 0.000], [0.000, 0.000, 6.043]],
  "species": ["Hf", "Hf", "Hf", "Hf", "Be", "Be", "Be", "Be", "Co", "Co", "Co", "Co", "Ge", "Ge", "Ge", "Ge"],
  "fractional_positions": [[0.000, 0.000, 0.000], [0.000, 0.500, 0.500], [0.500, 0.000, 0.500], [0.500, 0.500, 0.000], [0.250, 0.250, 0.750], [0.250, 0.750, 0.250], [0.750, 0.250, 0.250], [0.750, 0.750, 0.750], [0.000, 0.000, 0.500], [0.000, 0.500, 0.000], [0.500, 0.000, 0.000], [0.500, 0.500, 0.500], [0.250, 0.250, 0.250], [0.250, 0.750, 0.750], [0.750, 0.250, 0.750], [0.750, 0.750, 0.250]]
}


{
  "formula": "AuS5",
  "functional": "PBE",
  "state": "relaxed",
  "sg": "Pnma",
  "lattice_angstrom": [[14.448, 0.000, 0.000], [0.000, 17.981, 0.000], [0.000, 0.000, 5.422]],
  "species": ["Au", "Au", "Au", "Au", "Au", "Au", "Au", "Au", "S", "S", "S", "S", "S", "S", "S", "S", "S", "S", "S", "S", "S", "S", "S", "S", "S", "S", "S", "S", "S", "S", "S", "S", "S", "S", "S", "S", "S", "S", "S", "S", "S", "S", "S", "S", "S", "S", "S", "S"],
  "fractional_positions": [[0.077, 0.146, 0.081], [0.077, 0.354, 0.081], [0.423, 0.646, 0.581], [0.423, 0.854, 0.581], [0.577, 0.146, 0.419], [0.577, 0.354, 0.419], [0.923, 0.646, 0.919], [0.923, 0.854, 0.919], [0.019, 0.032, 0.187], [0.019, 0.468, 0.187], [0.116, 0.750, 0.925], [0.155, 0.505, 0.252], [0.155, 0.995, 0.252], [0.158, 0.250, 0.984], [0.161, 0.615, 0.337], [0.161, 0.885, 0.337], [0.200, 0.660, 0.992], [0.200, 0.840, 0.992], [0.300, 0.160, 0.492], [0.300, 0.340, 0.492], [0.339, 0.115, 0.837], [0.339, 0.385, 0.837], [0.342, 0.750, 0.484], [0.345, 0.005, 0.752], [0.345, 0.495, 0.752], [0.384, 0.250, 0.425], [0.481, 0.532, 0.687], [0.481, 0.968, 0.687], [0.519, 0.032, 0.313], [0.519, 0.468, 0.313], [0.616, 0.750, 0.575], [0.655, 0.505, 0.248], [0.655, 0.995, 0.248], [0.658, 0.250, 0.516], [0.661, 0.615, 0.163], [0.661, 0.885, 0.163], [0.700, 0.660, 0.508], [0.700, 0.840, 0.508], [0.800, 0.160, 0.008], [0.800, 0.340, 0.008], [0.839, 0.115, 0.663], [0.839, 0.385, 0.663], [0.842, 0.750, 0.016], [0.845, 0.005, 0.748], [0.845, 0.495, 0.748], [0.884, 0.250, 0.075], [0.981, 0.532, 0.813], [0.981, 0.968, 0.813]]
}


Number 1: E -0.2351 hartree per atom. Number 2: E -0.1413 hartree per atom.